(1)
A relaxed structure of CaZnPb4. Source: the Alexandria database, functional GGA-PBE.

Summary:
E   -17.94 eV/cell
ΔE_f   28 meV per atom
DOS at the Fermi energy   2.63 states/eV/f.u.

Lattice parameters (Å, degrees): 6.479 6.479 6.479 60.00 60.00 60.00
Fractional positions:
Ca1 0.000 0.000 0.000
Zn1 0.250 0.250 0.250
Pb1 0.124 0.625 0.625
Pb2 0.625 0.124 0.625
Pb3 0.625 0.625 0.124
Pb4 0.625 0.625 0.625


(2)
A relaxed structure of Ca4Zn2Pb. Source: the Alexandria database, functional GGA-PBE.

Summary:
E   -16.02 eV/cell
ΔE_f   -250 meV per atom
DOS at the Fermi energy   5.65 states/eV/f.u.

Lattice parameters (Å, degrees): 9.246 9.246 9.246 33.12 33.12 33.12
Fractional positions:
Ca1 0.120 0.120 0.120
Ca2 0.372 0.372 0.372
Ca3 0.628 0.628 0.628
Ca4 0.880 0.880 0.880
Zn1 0.250 0.250 0.250
Zn2 0.750 0.750 0.750
Pb1 0.500 0.500 0.500